Density functional theory data (PBE) for a relaxed structure of Y6Ru2Pt.

Cell lengths 6.6263, 7.4223, 11.4916 Å; angles 90.00, 123.43, 90.00 degrees
Closest atoms and distances in Å follow each position.
Atoms (fractional coordinates):
Y (0.0750, 0.0540, 0.2389)  2 Ru 2.77-2.79, 1 Pt 2.79
Y (0.0750, 0.4460, 0.7389)  2 Ru 2.77-2.79, 1 Pt 2.79
Y (0.2260, 0.6748, 0.0757)  1 Pt 2.73, 2 Ru 2.93-3.03
Y (0.2260, 0.8252, 0.5757)  1 Pt 2.73, 2 Ru 2.93-3.03
Y (0.3938, 0.1670, 0.0684)  1 Pt 2.80, 2 Ru 2.81-3.11
Y (0.3938, 0.3330, 0.5684)  1 Pt 2.80, 2 Ru 2.81-3.11
Y (0.6062, 0.6670, 0.4316)  1 Pt 2.80, 2 Ru 2.81-3.11
Y (0.6062, 0.8330, 0.9316)  1 Pt 2.80, 2 Ru 2.81-3.11
Y (0.7740, 0.1748, 0.4243)  1 Pt 2.73, 2 Ru 2.93-3.03
Y (0.7740, 0.3252, 0.9243)  1 Pt 2.73, 2 Ru 2.93-3.03
Y (0.9250, 0.5540, 0.2611)  2 Ru 2.77-2.79, 1 Pt 2.79
Y (0.9250, 0.9460, 0.7611)  2 Ru 2.77-2.79, 1 Pt 2.79
Ru (0.3027, 0.1174, 0.7671)  6 Y 2.77-3.11
Ru (0.3027, 0.3826, 0.2671)  6 Y 2.77-3.11
Ru (0.6973, 0.6174, 0.7329)  6 Y 2.77-3.11
Ru (0.6973, 0.8826, 0.2329)  6 Y 2.77-3.11
Pt (0.5000, 0.0000, 0.5000)  6 Y 2.73-2.80
Pt (0.5000, 0.5000, 0.0000)  6 Y 2.73-2.80

Computed properties:
The calculation puts the total energy at -134.73 eV/cell. As for the space group: No. 14.